(1)
# GGA-PBE Sr2HfNi3H12, optimized geometry
data_Sr2HfNi3H12
_symmetry_space_group_name_H-M 'R -3 m'
_symmetry_Int_Tables_number 166
_symmetry_space_group_name_Hall '-R 3 2"'
_cell_length_a 6.3646
_cell_length_b 6.3646
_cell_length_c 13.8498
_cell_angle_alpha 90.00
_cell_angle_beta 90.00
_cell_angle_gamma 120.00
loop_
_atom_site_label
_atom_site_fract_x
_atom_site_fract_y
_atom_site_fract_z
Sr1 0.0000 0.0000 0.1152
Hf1 0.0000 0.0000 0.5000
Ni1 0.0000 0.5000 0.0000
H1 0.0089 0.5045 0.8838
H2 0.0837 0.5418 0.3145
# Uncorrected energy (eV/atom): -4.23
# Size of the total moment (μB per cell): 0.0
# Crystal system: trigonal

---

(2)
# GGA-PBE PmNd2PuO8, optimized geometry
data_PmNd2PuO8
_symmetry_space_group_name_H-M 'P -1'
_symmetry_Int_Tables_number 2
_cell_length_a 4.0557
_cell_length_b 5.5667
_cell_length_c 7.5932
_cell_angle_alpha 89.96
_cell_angle_beta 89.98
_cell_angle_gamma 83.76
loop_
_symmetry_equiv_pos_as_xyz
'x,y,z'
'-x,-y,-z'
loop_
_atom_site_label
_atom_site_fract_x
_atom_site_fract_y
_atom_site_fract_z
Pm1 0.0000 0.0000 0.0000
Nd1 0.5000 0.5004 0.2435
Pu1 0.0000 0.0000 0.5000
O1 0.0464 0.2320 0.7176
O2 0.0469 0.2310 0.2829
O3 0.4231 0.7875 0.4999
O4 0.4992 0.2518 0.0003
# Size of the total moment (μB per cell): 1.0
# Crystal system: triclinic
# Raw formation energy (eV per formula unit): -35.9

---

(3)
# GGA-PBE I, optimized geometry
data_I
_symmetry_space_group_name_H-M 'P -1'
_symmetry_Int_Tables_number 2
_cell_length_a 6.7917
_cell_length_b 7.3340
_cell_length_c 9.6605
_cell_angle_alpha 74.58
_cell_angle_beta 84.38
_cell_angle_gamma 83.71
loop_
_symmetry_equiv_pos_as_xyz
'x,y,z'
'-x,-y,-z'
loop_
_atom_site_label
_atom_site_fract_x
_atom_site_fract_y
_atom_site_fract_z
I1 0.0748 0.2778 0.3105
I2 0.2163 0.9790 0.7156
I3 0.2941 0.7741 0.0100
I4 0.3563 0.5525 0.3097
# Size of the total moment (μB per cell): 0.0
# Crystal system: triclinic
# Relative energy among the computed polymorphs (meV/atom): 14.3
# Raw formation energy (eV per formula unit): 0.0

---

(4)
# GGA-PBE CaInHgPb, optimized geometry
data_CaInHgPb
_symmetry_space_group_name_H-M 'I -4 m 2'
_symmetry_Int_Tables_number 119
_symmetry_space_group_name_Hall 'I -4 -2'
_cell_length_a 4.8731
_cell_length_b 4.8731
_cell_length_c 9.2720
_cell_angle_alpha 90.00
_cell_angle_beta 90.00
_cell_angle_gamma 90.00
loop_
_atom_site_label
_atom_site_fract_x
_atom_site_fract_y
_atom_site_fract_z
Ca1 0.0000 0.0000 0.0000
In1 0.0000 0.0000 0.5000
Hg1 0.0000 0.5000 0.2500
Pb1 0.0000 0.5000 0.7500
# Size of the total moment (μB per cell): 0.0
# Crystal system: tetragonal
# ΔH_f (0 K) (meV per atom): -292

---

- What is the formula in the third record?
  I

---

Please write out number 1 again, unchanged.
# GGA-PBE Sr2HfNi3H12, optimized geometry
data_Sr2HfNi3H12
_symmetry_space_group_name_H-M 'R -3 m'
_symmetry_Int_Tables_number 166
_symmetry_space_group_name_Hall '-R 3 2"'
_cell_length_a 6.3646
_cell_length_b 6.3646
_cell_length_c 13.8498
_cell_angle_alpha 90.00
_cell_angle_beta 90.00
_cell_angle_gamma 120.00
loop_
_atom_site_label
_atom_site_fract_x
_atom_site_fract_y
_atom_site_fract_z
Sr1 0.0000 0.0000 0.1152
Hf1 0.0000 0.0000 0.5000
Ni1 0.0000 0.5000 0.0000
H1 0.0089 0.5045 0.8838
H2 0.0837 0.5418 0.3145
# Uncorrected energy (eV/atom): -4.23
# Size of the total moment (μB per cell): 0.0
# Crystal system: trigonal